1.
Density functional theory data (GGA-PBE) for a geometry-optimized Ga2BiH2 structure.

Cell: 3.508 3.508 6.909 Å, 75.29 75.29 90.00°
Fractional positions:
1 H 0.750 0.250 0.500
2 H 0.250 0.750 0.500
3 Bi 0.000 0.000 0.000
4 Ga 0.336 0.336 0.329
5 Ga 0.664 0.664 0.671

Output
Crystal system ... tetragonal
Spin magnetization ... 0.000 μB/f.u.
Calculated total energy ... -0.112 Ha/atom

***

2.
Density functional theory data (GGA-PBE) for a geometry-optimized GaBi2H structure.

Cell: 5.983 5.983 7.094 Å, 65.06 65.06 90.00°
Fractional positions:
1 H 0.500 0.500 0.000
2 H 0.250 0.750 0.500
3 Bi 0.545 0.125 0.250
4 Bi 0.205 0.625 0.250
5 Bi 0.375 0.455 0.750
6 Bi 0.875 0.795 0.750
7 Ga 0.000 0.000 0.000
8 Ga 0.750 0.250 0.500

Output
Crystal system ... tetragonal
Energy relative to the lowest polymorph listed for this composition ... 0.0 meV/atom
Spin magnetization ... 0.000 μB/f.u.
Calculated total energy ... -0.116 Ha/atom

***

3.
Density functional theory data (GGA-PBE) for a geometry-optimized Ga2BiH structure.

Cell: 5.143 5.143 7.194 Å, 69.06 69.06 90.00°
Fractional positions:
1 H 0.500 0.500 0.000
2 H 0.250 0.750 0.500
3 Bi 0.000 0.000 0.000
4 Bi 0.750 0.250 0.500
5 Ga 0.457 0.125 0.250
6 Ga 0.293 0.625 0.250
7 Ga 0.375 0.543 0.750
8 Ga 0.875 0.707 0.750

Output
Crystal system ... tetragonal
Energy relative to the lowest polymorph listed for this composition ... 44.4 meV/atom
Spin magnetization ... 0.000 μB/f.u.
Calculated total energy ... -0.113 Ha/atom

***

4.
Density functional theory data (GGA-PBE) for a geometry-optimized GaBi2H structure.

Cell: 4.981 4.981 4.981 Å, 60.00 60.00 60.00°
Fractional positions:
1 H 0.000 0.000 0.000
2 Bi 0.250 0.250 0.250
3 Bi 0.750 0.750 0.750
4 Ga 0.500 0.500 0.500

Output
Crystal system ... cubic
Energy relative to the lowest polymorph listed for this composition ... 58.5 meV/atom
Spin magnetization ... 0.000 μB/f.u.
Calculated total energy ... -0.114 Ha/atom

***

5.
Density functional theory data (GGA-PBE) for a geometry-optimized Ga2BiH structure.

Cell: 4.885 4.885 4.885 Å, 60.00 60.00 60.00°
Fractional positions:
1 H 0.000 0.000 0.000
2 Bi 0.500 0.500 0.500
3 Ga 0.250 0.250 0.250
4 Ga 0.750 0.750 0.750

Output
Crystal system ... cubic
Energy relative to the lowest polymorph listed for this composition ... 242.9 meV/atom
Spin magnetization ... 0.000 μB/f.u.
Calculated total energy ... -0.106 Ha/atom

***

6.
Density functional theory data (GGA-PBE) for a geometry-optimized Ga3BiH structure.

Cell: 4.587 4.587 4.587 Å, 90.00 90.00 90.00°
Fractional positions:
1 H 0.000 0.000 0.000
2 Bi 0.500 0.500 0.500
3 Ga 0.000 0.500 0.000
4 Ga 0.000 0.000 0.500
5 Ga 0.500 0.000 0.000

Output
Crystal system ... cubic
Spin magnetization ... 0.000 μB/f.u.
Calculated total energy ... -0.113 Ha/atom

***

7.
Density functional theory data (GGA-PBE) for a geometry-optimized In2GaBiH structure.

Cell: 5.701 5.701 3.526 Å, 90.00 90.00 90.00°
Fractional positions:
1 H 0.000 0.000 0.500
2 Bi 0.500 0.500 0.500
3 Ga 0.000 0.000 0.000
4 In 0.000 0.500 0.000
5 In 0.500 0.000 0.000

Output
Crystal system ... tetragonal
Spin magnetization ... 0.000 μB/f.u.
Calculated total energy ... -0.109 Ha/atom

***

8.
Density functional theory data (GGA-PBE) for a geometry-optimized InGaBi2H structure.

Cell: 5.918 5.918 3.423 Å, 90.00 90.00 90.00°
Fractional positions:
1 H 0.000 0.000 0.500
2 Bi 0.000 0.500 0.000
3 Bi 0.500 0.000 0.000
4 Ga 0.000 0.000 0.000
5 In 0.500 0.500 0.500

Output
Crystal system ... tetragonal
Spin magnetization ... 0.000 μB/f.u.
Calculated total energy ... -0.119 Ha/atom

***

9.
Density functional theory data (GGA-PBE) for a geometry-optimized In2GaBiH structure.

Cell: 4.878 4.878 4.726 Å, 90.00 90.00 90.00°
Fractional positions:
1 H 0.000 0.000 0.000
2 Bi 0.500 0.500 0.500
3 Ga 0.000 0.000 0.500
4 In 0.000 0.500 0.000
5 In 0.500 0.000 0.000

Output
Crystal system ... tetragonal
Spin magnetization ... 0.000 μB/f.u.
Calculated total energy ... -0.109 Ha/atom

***

10.
Density functional theory data (GGA-PBE) for a geometry-optimized Li2GaBiH structure.

Cell: 4.258 4.258 4.637 Å, 90.00 90.00 90.00°
Fractional positions:
1 H 0.000 0.000 0.000
2 Bi 0.500 0.500 0.500
3 Ga 0.000 0.000 0.500
4 Li 0.000 0.500 0.000
5 Li 0.500 0.000 0.000

Output
Crystal system ... tetragonal
Energy relative to the lowest polymorph listed for this composition ... 0.0 meV/atom
Spin magnetization ... 0.000 μB/f.u.
Calculated total energy ... -0.112 Ha/atom

***

11.
Density functional theory data (GGA-PBE) for a geometry-optimized Li2GaBiH structure.

Cell: 4.541 4.541 4.336 Å, 90.00 90.00 90.00°
Fractional positions:
1 H 0.000 0.000 0.000
2 Bi 0.000 0.000 0.500
3 Ga 0.500 0.500 0.500
4 Li 0.000 0.500 0.000
5 Li 0.500 0.000 0.000

Output
Crystal system ... tetragonal
Energy relative to the lowest polymorph listed for this composition ... 155.6 meV/atom
Spin magnetization ... 0.000 μB/f.u.
Calculated total energy ... -0.107 Ha/atom

***

12.
Density functional theory data (GGA-PBE) for a geometry-optimized GaBi2MoH structure.

Cell: 5.460 4.977 5.460 Å, 90.00 90.00 90.00°
Site moments in Bohr magnetons follow the coordinates.
Fractional positions:
1 H 0.500 0.500 0.500  0.28
2 Mo 0.000 0.500 0.000  2.83
3 Bi 0.000 0.000 0.500  -0.11
4 Bi 0.500 0.000 0.000  -0.12
5 Ga 0.000 0.000 0.000  -0.01

Output
Crystal system ... tetragonal
Spin magnetization ... 3.864 μB/f.u.
Calculated total energy ... -0.131 Ha/atom

***

13.
Density functional theory data (GGA-PBE) for a geometry-optimized GaBiHOs2 structure.

Cell: 5.100 3.459 5.100 Å, 90.00 90.00 90.00°
Fractional positions:
1 H 0.000 0.500 0.000
2 Os 0.000 0.000 0.500
3 Os 0.500 0.000 0.000
4 Bi 0.000 0.000 0.000
5 Ga 0.500 0.500 0.500

Output
Crystal system ... tetragonal
Spin magnetization ... 0.000 μB/f.u.
Calculated total energy ... -0.177 Ha/atom

***

14.
Density functional theory data (GGA-PBE) for a geometry-optimized GaBi2H2Pd7 structure.

Cell: 4.034 4.034 11.642 Å, 79.99 79.99 90.01°
Fractional positions:
1 Ga 0.000 0.000 0.000
2 Bi 0.802 0.802 0.393
3 Bi 0.198 0.198 0.607
4 H 0.589 0.589 0.827
5 H 0.411 0.411 0.173
6 Pd 0.500 0.500 0.000
7 Pd 0.323 0.323 0.352
8 Pd 0.677 0.677 0.648
9 Pd 0.914 0.414 0.170
10 Pd 0.414 0.914 0.170
11 Pd 0.586 0.086 0.830
12 Pd 0.086 0.586 0.830

Output
Crystal system ... monoclinic
Spin magnetization ... 0.000 μB/f.u.
Calculated total energy ... -0.176 Ha/atom

***

15.
Density functional theory data (GGA-PBE) for a geometry-optimized GaBi2HPd6 structure.

Cell: 5.649 6.920 5.784 Å, 65.54 58.85 89.87°
Fractional positions:
1 Ga 0.000 0.000 0.000
2 Bi 0.690 0.206 0.552
3 Bi 0.310 0.794 0.448
4 H 0.500 0.500 0.000
5 Pd 0.212 0.349 0.472
6 Pd 0.785 0.649 0.039
7 Pd 0.335 0.758 0.953
8 Pd 0.665 0.242 0.047
9 Pd 0.215 0.351 0.961
10 Pd 0.788 0.651 0.528

Output
Crystal system ... triclinic
Spin magnetization ... 0.000 μB/f.u.
Calculated total energy ... -0.177 Ha/atom

***

16.
Density functional theory data (GGA-PBE) for a geometry-optimized GaBi2HPd structure.

Cell: 5.600 5.600 3.394 Å, 90.00 90.00 90.00°
Fractional positions:
1 H 0.000 0.000 0.500
2 Ga 0.500 0.500 0.500
3 Bi 0.000 0.500 0.000
4 Bi 0.500 0.000 0.000
5 Pd 0.000 0.000 0.000

Output
Crystal system ... tetragonal
Spin magnetization ... 0.000 μB/f.u.
Calculated total energy ... -0.141 Ha/atom

***

17.
Density functional theory data (GGA-PBE) for a geometry-optimized GaBi2H2Pt7 structure.

Cell: 4.028 4.028 12.105 Å, 80.74 80.74 88.93°
Fractional positions:
1 Ga 0.000 0.000 0.000
2 Bi 0.791 0.791 0.413
3 Bi 0.209 0.209 0.587
4 H 0.850 0.850 0.755
5 H 0.150 0.150 0.245
6 Pt 0.500 0.500 0.000
7 Pt 0.368 0.368 0.340
8 Pt 0.632 0.632 0.660
9 Pt 0.920 0.436 0.161
10 Pt 0.436 0.920 0.161
11 Pt 0.564 0.080 0.839
12 Pt 0.080 0.564 0.839

Output
Crystal system ... monoclinic
Spin magnetization ... 0.000 μB/f.u.
Calculated total energy ... -0.190 Ha/atom

***

18.
Density functional theory data (GGA-PBE) for a geometry-optimized RbGaBiH structure.

Cell: 4.563 4.564 6.415 Å, 90.01 90.00 119.99°
Fractional positions:
1 Rb 0.572 0.144 0.330
2 Ga 0.239 0.477 0.935
3 Bi 0.905 0.811 0.780
4 H 0.239 0.477 0.194

Output
Crystal system ... trigonal
Spin magnetization ... 0.000 μB/f.u.
Calculated total energy ... -0.112 Ha/atom

***

19.
Density functional theory data (GGA-PBE) for a geometry-optimized Rb2GaBiH structure.

Cell: 5.405 6.790 12.094 Å, 118.63 90.00 90.00°
Fractional positions:
1 Rb 0.750 0.794 0.549
2 Rb 0.750 0.823 0.068
3 Rb 0.250 0.206 0.451
4 Rb 0.250 0.177 0.932
5 Ga 0.250 0.555 0.795
6 Ga 0.750 0.445 0.205
7 Bi 0.250 0.557 0.282
8 Bi 0.750 0.443 0.718
9 H 0.250 0.760 0.951
10 H 0.750 0.240 0.049

Output
Crystal system ... monoclinic
Spin magnetization ... 0.000 μB/f.u.
Calculated total energy ... -0.097 Ha/atom

***

20.
Density functional theory data (GGA-PBE) for a geometry-optimized GaBi2SbH structure.

Cell: 5.821 5.821 3.548 Å, 90.00 90.00 90.00°
Fractional positions:
1 Sb 0.500 0.500 0.500
2 Bi 0.000 0.500 0.000
3 Bi 0.500 0.000 0.000
4 Ga 0.000 0.000 0.000
5 H 0.000 0.000 0.500

Output
Crystal system ... tetragonal
Spin magnetization ... 0.000 μB/f.u.
Calculated total energy ... -0.127 Ha/atom

***

21.
Density functional theory data (GGA-PBE) for a geometry-optimized Ga2BiHSe structure.

Cell: 4.348 5.410 4.348 Å, 90.00 90.00 90.00°
Fractional positions:
1 H 0.000 0.000 0.000
2 Ga 0.000 0.000 0.500
3 Ga 0.500 0.000 0.000
4 Bi 0.000 0.500 0.000
5 Se 0.500 0.500 0.500

Output
Crystal system ... tetragonal
Spin magnetization ... 0.000 μB/f.u.
Calculated total energy ... -0.115 Ha/atom

***

22.
Density functional theory data (GGA-PBE) for a geometry-optimized GaSn2BiH structure.

Cell: 5.788 5.788 3.452 Å, 90.00 90.00 90.00°
Fractional positions:
1 H 0.000 0.000 0.500
2 Bi 0.500 0.500 0.500
3 Ga 0.000 0.000 0.000
4 Sn 0.000 0.500 0.000
5 Sn 0.500 0.000 0.000

Output
Crystal system ... tetragonal
Spin magnetization ... 0.000 μB/f.u.
Calculated total energy ... -0.129 Ha/atom

***

23.
Density functional theory data (GGA-PBE) for a geometry-optimized Ti7GaBi2H2 structure.

Cell: 4.029 4.029 12.136 Å, 78.51 78.51 89.84°
Fractional positions:
1 Ti 0.500 0.500 0.000
2 Ti 0.251 0.251 0.403
3 Ti 0.749 0.749 0.597
4 Ti 0.899 0.396 0.172
5 Ti 0.396 0.899 0.172
6 Ti 0.604 0.101 0.828
7 Ti 0.101 0.604 0.828
8 Ga 0.000 0.000 0.000
9 Bi 0.784 0.784 0.358
10 Bi 0.216 0.216 0.642
11 H 0.598 0.598 0.833
12 H 0.402 0.402 0.167

Output
Crystal system ... monoclinic
Spin magnetization ... 0.000 μB/f.u.
Calculated total energy ... -0.235 Ha/atom

***

24.
Density functional theory data (GGA-PBE) for a geometry-optimized Tl2GaBiH structure.

Cell: 5.002 5.002 4.785 Å, 90.00 90.00 90.00°
Fractional positions:
1 H 0.000 0.000 0.000
2 Tl 0.000 0.500 0.000
3 Tl 0.500 0.000 0.000
4 Bi 0.500 0.500 0.500
5 Ga 0.000 0.000 0.500

Output
Crystal system ... tetragonal
Spin magnetization ... 0.000 μB/f.u.
Calculated total energy ... -0.103 Ha/atom

***

25.
Density functional theory data (GGA-PBE) for a geometry-optimized TlGaBi2H structure.

Cell: 5.966 5.966 3.458 Å, 90.00 90.00 90.00°
Fractional positions:
1 H 0.000 0.000 0.500
2 Tl 0.500 0.500 0.500
3 Bi 0.000 0.500 0.000
4 Bi 0.500 0.000 0.000
5 Ga 0.000 0.000 0.000

Output
Crystal system ... tetragonal
Spin magnetization ... 0.000 μB/f.u.
Calculated total energy ... -0.116 Ha/atom

***

26.
Density functional theory data (GGA-PBE) for a geometry-optimized Ga2BiHW structure.

Cell: 4.270 4.561 4.270 Å, 90.00 90.00 90.00°
Site moments in Bohr magnetons follow the coordinates.
Fractional positions:
1 H 0.000 0.000 0.000  -0.01
2 Ga 0.000 0.000 0.500  -0.02
3 Ga 0.500 0.000 0.000  -0.01
4 Bi 0.000 0.500 0.000  -0.03
5 W 0.500 0.500 0.500  1.18

Output
Crystal system ... tetragonal
Spin magnetization ... 1.395 μB/f.u.
Calculated total energy ... -0.162 Ha/atom

***

27.
Density functional theory data (GGA-PBE) for a geometry-optimized Y2GaBiH structure.

Cell: 5.502 5.321 5.502 Å, 90.00 90.00 90.00°
Fractional positions:
1 Y 0.000 0.000 0.500
2 Y 0.500 0.000 0.000
3 H 0.500 0.500 0.500
4 Bi 0.000 0.500 0.000
5 Ga 0.000 0.000 0.000

Output
Crystal system ... tetragonal
Spin magnetization ... 0.000 μB/f.u.
Calculated total energy ... -0.151 Ha/atom